Material: LiPmPaO4
Method: DFT, GGA-PBE
State: relaxed

Cell: 7.150 7.150 7.150 Å, 122.08 121.00 87.36°
Fractional positions:
Li 0.301 0.051 0.250
Li 0.699 0.949 0.750
Pm 0.000 0.500 0.500
Pm 0.500 0.500 0.000
Pa 0.000 0.000 0.500
Pa 0.000 0.500 0.000
O 0.182 0.728 0.454
O 0.218 0.228 0.510
O 0.218 0.708 0.990
O 0.226 0.272 0.954
O 0.774 0.728 0.046
O 0.782 0.292 0.010
O 0.782 0.772 0.490
O 0.818 0.272 0.546

Its magnetic moment is 1.96 μB per cell. Its symmetry is Imma, No. 74. The calculated volume is 18.01 Å³ per atom. Its total energy is -8.089 eV per atom.